## HoEr2Pd2 (GGA-PBE)

Data for a relaxed structure of HoEr2Pd2.

Structure (CIF):
```
data_HoEr2Pd2
_space_group_name_H-M_alt 'P 1'
_space_group_IT_number 1
_cell_length_a 3.8282
_cell_length_b 7.0630
_cell_length_c 9.6173
_cell_angle_alpha 90.00
_cell_angle_beta 90.00
_cell_angle_gamma 105.72
loop_
_space_group_symop_operation_xyz
'x,y,z'
loop_
_atom_site_label
_atom_site_type_symbol
_atom_site_fract_x
_atom_site_fract_y
_atom_site_fract_z
Ho1 Ho 0.3985 0.7969 0.4864
Pd1 Pd 0.0309 0.0617 0.3632
Er1 Er 0.6827 0.3653 0.3527
Er2 Er 0.8938 0.7876 0.1447
Er3 Er 0.1062 0.2124 0.6447
Ho2 Ho 0.6015 0.2031 0.9864
Pd2 Pd 0.2375 0.4751 0.1384
Pd3 Pd 0.7625 0.5249 0.6384
Er4 Er 0.3173 0.6347 0.8527
Pd4 Pd 0.9691 0.9383 0.8632
```

Properties
- SG = Cmc2_1, No. 36
- DOS(E_F) (states/eV per cell) = 8.4
- offset from the most stable computed form (meV/atom) = 71
- calculated density (g/cm3) = 9.5